1.
LaDy4In4 after structural relaxation, computed with GGA-PBE.

abc: 7.322 7.322 10.554
angles: 90.00 90.00 90.00
Space group P4_2/nmc (No. 137, origin choice 2)
Unique sites:
La1 0.250 0.750 0.250
Dy1 0.015 0.250 0.157
In1 0.042 0.250 0.455

Properties
E_tot: -4.018 eV per atom
ρ: 7.33 Mg/m³
E_form: -0.21 eV per atom
Total magnetization: 0.000 μB per atom

---

2.
La2DyIn4 after structural relaxation, computed with GGA-PBE.

abc: 5.348 5.348 15.206
angles: 90.00 90.00 90.00
Space group I4/mmm (No. 139)
Unique sites:
La1 0.000 0.000 0.248
Dy1 0.000 0.000 0.500
In1 0.000 0.500 0.107

Properties
E_tot: -3.970 eV per atom
ρ: 6.87 Mg/m³
E_form: -0.34 eV per atom
Total magnetization: 0.000 μB per atom

---

3.
LaDyIn after structural relaxation, computed with GGA-PBE.

abc: 5.3330 5.3330 3.7747
angles: 90.00 90.00 120.00
Space group P3m1 (No. 156)
Unique sites:
La1 0.0000 0.0000 0.0000
Dy1 0.3333 0.6667 0.5568
In1 0.6667 0.3333 0.3970

Properties
Energy above the lowest structure with this stoichiometry: 91 meV per atom
E_tot: -4.343 eV per atom
ρ: 7.43 Mg/m³
E_form: -0.25 eV per atom
Total magnetization: 0.000 μB per atom

---

4.
La6DyIn5 after structural relaxation, computed with GGA-PBE.

abc: 5.137 9.329 15.531
angles: 90.00 90.00 90.00
Space group Immm (No. 71)
Unique sites:
La1 0.000 0.236 0.000
La2 0.000 0.260 0.328
Dy1 0.000 0.000 0.500
In1 0.000 0.000 0.170
In2 0.000 0.500 0.153
In3 0.000 0.500 0.500

Properties
E_tot: -4.397 eV per atom
ρ: 7.01 Mg/m³
E_form: -0.41 eV per atom
Total magnetization: 0.000 μB per atom

---

5.
La5Dy2In5 after structural relaxation, computed with GGA-PBE.

abc: 10.215 5.478 13.876
angles: 90.00 105.35 90.00
Space group C2/m (No. 12)
Unique sites:
La1 0.000 0.000 0.000
La2 0.076 0.500 0.814
La3 0.152 0.500 0.488
Dy1 0.194 0.000 0.708
In1 0.000 0.000 0.500
In2 0.126 0.000 0.284
In3 0.204 0.500 0.064

Properties
E_tot: -4.300 eV per atom
ρ: 7.07 Mg/m³
E_form: -0.34 eV per atom
Total magnetization: 0.000 μB per atom

---

6.
La3Dy2In3 after structural relaxation, computed with GGA-PBE.

abc: 3.898 5.575 23.010
angles: 90.00 90.00 90.00
Space group Immm (No. 71)
Unique sites:
La1 0.000 0.000 0.000
La2 0.000 0.500 0.123
Dy1 0.000 0.000 0.235
In1 0.000 0.000 0.500
In2 0.000 0.500 0.376

Properties
Energy above the lowest structure with this stoichiometry: 0 meV per atom
E_tot: -4.395 eV per atom
ρ: 7.21 Mg/m³
E_form: -0.37 eV per atom
Total magnetization: 0.000 μB per atom